Record 1
A relaxed La4SmHo5 crystal, computed with PBE.

The structure in CIF format:
```
data_La4SmHo5
_cell_length_a 3.667
_cell_length_b 3.667
_cell_length_c 25.065
_cell_angle_alpha 90.00
_cell_angle_beta 90.00
_cell_angle_gamma 90.00
_space_group_name_H-M_alt 'P 1'
_space_group_IT_number 1
_space_group_name_Hall 'P 1'
loop_
_atom_site_label
_atom_site_type_symbol
_atom_site_fract_x
_atom_site_fract_y
_atom_site_fract_z
_atom_site_occupancy
La1 La 0.000 0.000 0.199 1
La2 La 0.000 0.000 0.400 1
La3 La 0.000 0.000 0.600 1
La4 La 0.000 0.000 0.801 1
Sm1 Sm 0.000 0.000 0.000 1
Ho1 Ho 0.500 0.500 0.097 1
Ho2 Ho 0.500 0.500 0.299 1
Ho3 Ho 0.500 0.500 0.500 1
Ho4 Ho 0.500 0.500 0.701 1
Ho5 Ho 0.500 0.500 0.903 1
```

Properties
Distance to the lowest polymorph of the same formula   0 meV/atom
Crystal system   tetragonal

Record 2
A relaxed Tb2Y8Zr crystal, computed with PBE.

The structure in CIF format:
```
data_Tb2Y8Zr
_cell_length_a 4.985
_cell_length_b 7.905
_cell_length_c 9.339
_cell_angle_alpha 104.66
_cell_angle_beta 105.48
_cell_angle_gamma 90.00
_space_group_name_H-M_alt 'P 1'
_space_group_IT_number 1
_space_group_name_Hall 'P 1'
loop_
_atom_site_label
_atom_site_type_symbol
_atom_site_fract_x
_atom_site_fract_y
_atom_site_fract_z
_atom_site_occupancy
Tb1 Tb 0.226 0.634 0.453 1
Tb2 Tb 0.774 0.366 0.547 1
Y1 Y 0.589 0.443 0.179 1
Y2 Y 0.321 0.090 0.643 1
Y3 Y 0.132 0.175 0.264 1
Y4 Y 0.044 0.738 0.089 1
Y5 Y 0.868 0.825 0.736 1
Y6 Y 0.679 0.910 0.357 1
Y7 Y 0.411 0.557 0.821 1
Y8 Y 0.956 0.262 0.911 1
Zr1 Zr 0.500 0.000 0.000 1
```

Properties
E   -6.271 eV per atom
Crystal system   monoclinic

Record 3
A relaxed MgBe2Ge crystal, computed with PBE.

The structure in CIF format:
```
data_MgBe2Ge
_cell_length_a 4.197
_cell_length_b 4.197
_cell_length_c 8.114
_cell_angle_alpha 75.01
_cell_angle_beta 75.01
_cell_angle_gamma 90.00
_space_group_name_H-M_alt 'P 1'
_space_group_IT_number 1
_space_group_name_Hall 'P 1'
loop_
_atom_site_label
_atom_site_type_symbol
_atom_site_fract_x
_atom_site_fract_y
_atom_site_fract_z
_atom_site_occupancy
Be1 Be 0.874 0.125 0.250 1
Be2 Be 0.876 0.625 0.250 1
Be3 Be 0.375 0.126 0.750 1
Be4 Be 0.875 0.124 0.750 1
Ge1 Ge 0.000 0.000 0.000 1
Ge2 Ge 0.750 0.250 0.500 1
Mg1 Mg 0.500 0.500 0.000 1
Mg2 Mg 0.250 0.750 0.500 1
```

Properties
Distance to the lowest polymorph of the same formula   0 meV/atom
Crystal system   tetragonal

Record 4
A relaxed Yb2AgHg crystal, computed with PBE.

The structure in CIF format:
```
data_Yb2AgHg
_cell_length_a 5.249
_cell_length_b 5.249
_cell_length_c 5.249
_cell_angle_alpha 60.00
_cell_angle_beta 60.00
_cell_angle_gamma 60.00
_space_group_name_H-M_alt 'P 1'
_space_group_IT_number 1
_space_group_name_Hall 'P 1'
loop_
_atom_site_label
_atom_site_type_symbol
_atom_site_fract_x
_atom_site_fract_y
_atom_site_fract_z
_atom_site_occupancy
Yb1 Yb 0.250 0.250 0.250 1
Yb2 Yb 0.750 0.750 0.750 1
Hg1 Hg 0.000 0.000 0.000 1
Ag1 Ag 0.500 0.500 0.500 1
```

Properties
E   -2.033 eV per atom
Crystal system   cubic

Record 5
A relaxed La2Tb3NpN6 crystal, computed with PBE.

The structure in CIF format:
```
data_La2Tb3NpN6
_cell_length_a 6.190
_cell_length_b 6.190
_cell_length_c 6.146
_cell_angle_alpha 99.66
_cell_angle_beta 99.66
_cell_angle_gamma 120.01
_space_group_name_H-M_alt 'P 1'
_space_group_IT_number 1
_space_group_name_Hall 'P 1'
loop_
_atom_site_label
_atom_site_type_symbol
_atom_site_fract_x
_atom_site_fract_y
_atom_site_fract_z
_atom_site_occupancy
La1 La 0.333 0.667 0.000 1
La2 La 0.667 0.333 0.000 1
Tb1 Tb 0.164 0.836 0.500 1
Tb2 Tb 0.836 0.164 0.500 1
Tb3 Tb 0.500 0.500 0.500 1
Np1 Np 0.000 0.000 0.000 1
N1 N 0.917 0.613 0.750 1
N2 N 0.779 0.779 0.248 1
N3 N 0.083 0.387 0.250 1
N4 N 0.613 0.917 0.750 1
N5 N 0.221 0.221 0.752 1
N6 N 0.387 0.083 0.250 1
```

Properties
Formation energy without anion corrections   -1.4358 eV per atom
Crystal system   monoclinic

Record 6
A relaxed LiReSe2 crystal, computed with PBE.

The structure in CIF format:
```
data_LiReSe2
_cell_length_a 5.045
_cell_length_b 3.192
_cell_length_c 4.648
_cell_angle_alpha 69.82
_cell_angle_beta 90.00
_cell_angle_gamma 90.00
_space_group_name_H-M_alt 'P 1'
_space_group_IT_number 1
_space_group_name_Hall 'P 1'
loop_
_atom_site_label
_atom_site_type_symbol
_atom_site_fract_x
_atom_site_fract_y
_atom_site_fract_z
_atom_site_occupancy
Li1 Li 0.000 0.557 0.512 1
Re1 Re 0.500 0.911 0.803 1
Se1 Se 0.000 0.838 0.948 1
Se2 Se 0.500 0.193 0.236 1
```

Properties
Formation energy without anion corrections   -0.0933 eV per atom
Distance to the lowest polymorph of the same formula   148 meV/atom
Crystal system   monoclinic

Record 7
A relaxed LiNdDySn crystal, computed with PBE.

The structure in CIF format:
```
data_LiNdDySn
_cell_length_a 5.303
_cell_length_b 5.303
_cell_length_c 5.303
_cell_angle_alpha 60.00
_cell_angle_beta 60.00
_cell_angle_gamma 60.00
_space_group_name_H-M_alt 'P 1'
_space_group_IT_number 1
_space_group_name_Hall 'P 1'
loop_
_atom_site_label
_atom_site_type_symbol
_atom_site_fract_x
_atom_site_fract_y
_atom_site_fract_z
_atom_site_occupancy
Li1 Li 0.250 0.250 0.250 1
Nd1 Nd 0.000 0.000 0.000 1
Sn1 Sn 0.750 0.750 0.750 1
Dy1 Dy 0.500 0.500 0.500 1
```

Properties
E   -4.250 eV per atom
Crystal system   cubic

Record 8
A relaxed As3H2I crystal, computed with PBE.

The structure in CIF format:
```
data_As3H2I
_cell_length_a 8.072
_cell_length_b 8.072
_cell_length_c 4.163
_cell_angle_alpha 108.94
_cell_angle_beta 108.94
_cell_angle_gamma 87.67
_space_group_name_H-M_alt 'P 1'
_space_group_IT_number 1
_space_group_name_Hall 'P 1'
loop_
_atom_site_label
_atom_site_type_symbol
_atom_site_fract_x
_atom_site_fract_y
_atom_site_fract_z
_atom_site_occupancy
As1 As 0.107 0.389 0.412 1
As2 As 0.611 0.893 0.088 1
As3 As 0.893 0.611 0.588 1
As4 As 0.389 0.107 0.912 1
As5 As 0.572 0.428 0.250 1
As6 As 0.428 0.572 0.750 1
H1 H 0.120 0.471 0.133 1
H2 H 0.529 0.880 0.367 1
H3 H 0.880 0.529 0.867 1
H4 H 0.471 0.120 0.633 1
I1 I 0.151 0.849 0.250 1
I2 I 0.849 0.151 0.750 1
```

Properties
E   -3.585 eV per atom
Crystal system   monoclinic

Record 9
A relaxed RbNaFe2Cl6 crystal, computed with PBE.

The structure in CIF format:
```
data_RbNaFe2Cl6
_cell_length_a 9.117
_cell_length_b 9.117
_cell_length_c 7.278
_cell_angle_alpha 101.51
_cell_angle_beta 101.51
_cell_angle_gamma 85.15
_space_group_name_H-M_alt 'P 1'
_space_group_IT_number 1
_space_group_name_Hall 'P 1'
loop_
_atom_site_label
_atom_site_type_symbol
_atom_site_fract_x
_atom_site_fract_y
_atom_site_fract_z
_atom_site_occupancy
Rb1 Rb 0.190 0.810 0.250 1
Rb2 Rb 0.810 0.190 0.750 1
Na1 Na 0.595 0.405 0.250 1
Na2 Na 0.405 0.595 0.750 1
Fe1 Fe 0.303 0.124 0.773 1
Fe2 Fe 0.876 0.697 0.727 1
Fe3 Fe 0.697 0.876 0.227 1
Fe4 Fe 0.124 0.303 0.273 1
Cl1 Cl 0.892 0.402 0.181 1
Cl2 Cl 0.598 0.108 0.319 1
Cl3 Cl 0.108 0.598 0.819 1
Cl4 Cl 0.402 0.892 0.681 1
Cl5 Cl 0.170 0.116 0.015 1
Cl6 Cl 0.884 0.830 0.485 1
Cl7 Cl 0.830 0.884 0.985 1
Cl8 Cl 0.116 0.170 0.515 1
Cl9 Cl 0.307 0.470 0.361 1
Cl10 Cl 0.530 0.693 0.139 1
Cl11 Cl 0.693 0.530 0.639 1
Cl12 Cl 0.470 0.307 0.861 1
```

Properties
Formation energy without anion corrections   -1.1816 eV per atom
Crystal system   monoclinic

Record 10
A relaxed PmY2Al6 crystal, computed with PBE.

The structure in CIF format:
```
data_PmY2Al6
_cell_length_a 3.536
_cell_length_b 7.942
_cell_length_c 7.942
_cell_angle_alpha 120.00
_cell_angle_beta 90.00
_cell_angle_gamma 90.00
_space_group_name_H-M_alt 'P 1'
_space_group_IT_number 1
_space_group_name_Hall 'P 1'
loop_
_atom_site_label
_atom_site_type_symbol
_atom_site_fract_x
_atom_site_fract_y
_atom_site_fract_z
_atom_site_occupancy
Pm1 Pm 0.000 0.000 0.000 1
Y1 Y 0.000 0.333 0.667 1
Y2 Y 0.000 0.667 0.333 1
Al1 Al 0.500 0.335 0.335 1
Al2 Al 0.500 0.665 0.665 1
Al3 Al 0.500 0.000 0.665 1
Al4 Al 0.500 0.665 0.000 1
Al5 Al 0.500 0.335 0.000 1
Al6 Al 0.500 0.000 0.335 1
```

Properties
E   -4.954 eV per atom
Crystal system   hexagonal

Record 11
A relaxed PmNd3Ge2 crystal, computed with PBE.

The structure in CIF format:
```
data_PmNd3Ge2
_cell_length_a 8.250
_cell_length_b 8.250
_cell_length_c 8.250
_cell_angle_alpha 56.75
_cell_angle_beta 56.75
_cell_angle_gamma 56.75
_space_group_name_H-M_alt 'P 1'
_space_group_IT_number 1
_space_group_name_Hall 'P 1'
loop_
_atom_site_label
_atom_site_type_symbol
_atom_site_fract_x
_atom_site_fract_y
_atom_site_fract_z
_atom_site_occupancy
Pm1 Pm 0.500 0.500 0.500 1
Pm2 Pm 0.000 0.000 0.000 1
Nd1 Nd 0.474 0.026 0.750 1
Nd2 Nd 0.026 0.750 0.474 1
Nd3 Nd 0.750 0.474 0.026 1
Nd4 Nd 0.526 0.974 0.250 1
Nd5 Nd 0.974 0.250 0.526 1
Nd6 Nd 0.250 0.526 0.974 1
Ge1 Ge 0.355 0.355 0.355 1
Ge2 Ge 0.145 0.145 0.145 1
Ge3 Ge 0.855 0.855 0.855 1
Ge4 Ge 0.645 0.645 0.645 1
```

Properties
Distance to the lowest polymorph of the same formula   243 meV/atom
Crystal system   trigonal

D(E_F) for every record listed, in sequence, given in states/eV/cell: 15.886, 15.137, 1.995, 28.716, 8.454, 2.106, 2.730, 0.813, 19.412, 4.152, 11.028.